A relaxed Dy2YSn2 crystal, computed with PBE.

Results
- ΔH_f (0 K): -410 meV/atom
- Symmetry: C2/m, No. 12

a b c (Å): 3.981 6.126 6.615
angles (deg): 101.81 107.51 90.00
Positions (direct):
Sn: 0.699 0.127 0.398
Sn: 0.301 0.873 0.602
Y: 0.000 0.000 0.000
Dy: 0.364 0.420 0.728
Dy: 0.636 0.580 0.272

***

A relaxed Dy3Y5Sn12 crystal, computed with PBE.

Results
- ΔH_f (0 K): -108 meV/atom
- Symmetry: Ia-3d, No. 230

a b c (Å): 15.438 15.438 15.438
angles (deg): 109.47 109.47 109.47
Positions (direct):
Dy: 0.125 0.875 0.750
Dy: 0.625 0.375 0.750
Dy: 0.125 0.250 0.875
Dy: 0.750 0.375 0.125
Dy: 0.875 0.750 0.125
Dy: 0.875 0.125 0.250
Dy: 0.375 0.625 0.250
Dy: 0.250 0.125 0.375
Dy: 0.750 0.875 0.625
Dy: 0.250 0.625 0.875
Dy: 0.375 0.750 0.625
Dy: 0.625 0.250 0.375
Sn: 0.078 0.919 0.154
Sn: 0.081 0.922 0.346
Sn: 0.265 0.419 0.841
Sn: 0.922 0.081 0.846
Sn: 0.846 0.581 0.922
Sn: 0.076 0.422 0.841
Sn: 0.235 0.659 0.081
Sn: 0.078 0.159 0.424
Sn: 0.654 0.578 0.919
Sn: 0.081 0.159 0.235
Sn: 0.159 0.078 0.924
Sn: 0.154 0.419 0.078
Sn: 0.346 0.422 0.081
Sn: 0.265 0.846 0.924
Sn: 0.581 0.846 0.422
Sn: 0.341 0.576 0.422
Sn: 0.422 0.076 0.341
Sn: 0.422 0.346 0.581
Sn: 0.578 0.924 0.659
Sn: 0.154 0.735 0.576
Sn: 0.076 0.654 0.735
Sn: 0.765 0.341 0.919
Sn: 0.346 0.924 0.765
Sn: 0.581 0.735 0.659
Sn: 0.576 0.341 0.922
Sn: 0.159 0.081 0.735
Sn: 0.765 0.424 0.346
Sn: 0.578 0.654 0.419
Sn: 0.735 0.154 0.076
Sn: 0.841 0.919 0.265
Sn: 0.841 0.922 0.076
Sn: 0.424 0.659 0.078
Sn: 0.424 0.765 0.846
Sn: 0.341 0.765 0.419
Sn: 0.924 0.346 0.265
Sn: 0.735 0.581 0.159
Sn: 0.654 0.076 0.235
Sn: 0.419 0.265 0.341
Sn: 0.919 0.078 0.654
Sn: 0.924 0.578 0.159
Sn: 0.576 0.235 0.154
Sn: 0.846 0.265 0.424
Sn: 0.235 0.576 0.654
Sn: 0.919 0.841 0.765
Sn: 0.922 0.841 0.576
Sn: 0.419 0.154 0.578
Sn: 0.659 0.235 0.581
Sn: 0.659 0.424 0.578
Y: 0.125 0.375 0.250
Y: 0.875 0.625 0.750
Y: 0.625 0.750 0.875
Y: 0.750 0.625 0.375
Y: 0.250 0.375 0.625
Y: 0.500 0.500 0.000
Y: 0.000 0.000 0.500
Y: 0.000 0.500 0.500
Y: 0.375 0.125 0.750
Y: 0.625 0.875 0.250
Y: 0.500 0.000 0.000
Y: 0.250 0.875 0.125
Y: 0.375 0.250 0.125
Y: 0.125 0.750 0.375
Y: 0.875 0.250 0.625
Y: 0.000 0.000 0.000
Y: 0.750 0.125 0.875
Y: 0.500 0.500 0.500
Y: 0.500 0.000 0.500
Y: 0.000 0.500 0.000

***

A relaxed DyY2Sn crystal, computed with PBE.

Results
- ΔH_f (0 K): -121 meV/atom
- ΔE to the lowest computed polymorph: 296 meV per atom
- Symmetry: R3m, No. 160

a b c (Å): 5.139 5.139 6.458
angles (deg): 66.56 66.56 60.00
Positions (direct):
Sn: 0.683 0.683 0.951
Y: 0.053 0.053 0.841
Y: 0.274 0.274 0.179
Dy: 0.490 0.490 0.529

***

A relaxed DyY2Sn crystal, computed with PBE.

Results
- ΔH_f (0 K): -416 meV/atom
- ΔE to the lowest computed polymorph: 0 meV per atom
- Symmetry: P4/mmm, No. 123

a b c (Å): 4.795 4.831 4.831
angles (deg): 90.00 90.00 90.00
Positions (direct):
Sn: 0.500 0.000 0.000
Y: 0.000 0.000 0.500
Y: 0.000 0.500 0.000
Dy: 0.500 0.500 0.500

***

A relaxed DyYSn2 crystal, computed with PBE.

Results
- ΔH_f (0 K): -625 meV/atom
- Symmetry: P4/mmm, No. 123

a b c (Å): 4.411 4.902 4.902
angles (deg): 90.00 90.00 90.00
Positions (direct):
Sn: 0.000 0.500 0.000
Sn: 0.000 0.000 0.500
Dy: 0.500 0.500 0.500
Y: 0.500 0.000 0.000

***

A relaxed Dy2YSn crystal, computed with PBE.

Results
- ΔH_f (0 K): -376 meV/atom
- ΔE to the lowest computed polymorph: 41 meV per atom
- Symmetry: Cmcm, No. 63

a b c (Å): 4.249 6.494 9.451
angles (deg): 90.00 90.00 109.09
Positions (direct):
Sn: 0.753 0.506 0.750
Sn: 0.247 0.494 0.250
Dy: 0.364 0.728 0.554
Dy: 0.636 0.272 0.054
Dy: 0.636 0.272 0.446
Dy: 0.364 0.728 0.946
Y: 0.059 0.118 0.750
Y: 0.941 0.882 0.250

***

A relaxed DyY5Sn6 crystal, computed with PBE.

Results
- ΔH_f (0 K): -650 meV/atom
- Symmetry: C2/m, No. 12

a b c (Å): 9.172 5.739 7.602
angles (deg): 67.82 80.73 64.73
Positions (direct):
Y: 0.500 0.167 0.666
Y: 0.000 0.334 0.333
Y: 0.500 0.833 0.334
Y: 0.000 0.666 0.667
Y: 0.500 0.500 0.000
Dy: 0.000 0.000 0.000
Sn: 0.250 0.917 0.667
Sn: 0.750 0.416 0.667
Sn: 0.250 0.249 0.000
Sn: 0.250 0.584 0.333
Sn: 0.750 0.751 0.000
Sn: 0.750 0.083 0.333

***

A relaxed DyYSn6 crystal, computed with PBE.

Results
- ΔH_f (0 K): -426 meV/atom
- Symmetry: P4/mmm, No. 123

a b c (Å): 4.796 4.796 9.129
angles (deg): 90.00 90.00 90.00
Positions (direct):
Dy: 0.000 0.000 0.000
Sn: 0.500 0.500 0.500
Sn: 0.000 0.500 0.751
Sn: 0.500 0.000 0.249
Sn: 0.500 0.500 0.000
Sn: 0.500 0.000 0.751
Sn: 0.000 0.500 0.249
Y: 0.000 0.000 0.500